Here is a geometry-optimized MgGa2I structure from Alexandria via LeMat-Bulk. Energies are from PBE.

Total magnetization (μB per atom): 0.000
Formation energy from raw total energies (eV per atom): 0.19
Offset from the most stable computed form (meV/atom): 0.0

Unit cell a=5.335 b=5.335 c=5.335 alpha=60.00 beta=60.00 gamma=60.00
Positions (direct):
Mg1 0.000 0.000 0.000
Ga1 0.250 0.250 0.250
Ga2 0.750 0.750 0.750
I1 0.500 0.500 0.500